Here is an optimized crystal structure of Sc2TlIn from the Alexandria database. Energies are from PBEsol.

```
Sc2TlIn
1.0
3.220 0.000 0.000
0.000 5.300 -0.095
0.000 -1.348 5.127
Sc In Tl
2 1 1
direct
0.000 0.500 0.000
0.000 0.000 0.500
0.500 0.500 0.500
0.500 0.000 0.000
```

Uncorrected energy in eV per atom: -5.130
Polymorph energy (0 for the lowest one) in meV per atom: 1
Total magnetic moment in μB/f.u.: 0.745

***

Here is an optimized crystal structure of Sc2TlIn from the Alexandria database. Energies are from PBEsol.

```
Sc2TlIn
1.0
4.214 0.000 0.000
0.000 4.214 0.000
-2.107 -2.107 5.044
Sc Tl In
2 1 1
direct
0.750 0.250 0.500
0.000 0.000 0.000
0.500 0.500 0.000
0.250 0.750 0.500
```

Uncorrected energy in eV per atom: -5.055
Polymorph energy (0 for the lowest one) in meV per atom: 76
Total magnetic moment in μB/f.u.: 0.001